Entry from the Alexandria database: a relaxed structure of Mg2BeRh (PBE).

* formation enthalpy at 0 K: -3.348 kcal/mol of atoms
* uncorrected energy: -3.712 eV per atom
* calculated density: 4.5 g/cm³

a b c (Å): 6.7530 3.9169 3.8475
angles (deg): 90.02 55.24 125.59
Fractional coordinates of all 4 atoms:
Be (0.5000, 0.5000, 0.0000)
Mg (0.0000, 0.0000, 0.0000)
Mg (0.5000, 0.0000, 0.5000)
Rh (0.0000, 0.5000, 0.5000)

***

Entry from the Alexandria database: a relaxed structure of MgBeRh (PBE).

* formation enthalpy at 0 K: -3.819 kcal/mol of atoms
* uncorrected energy: -4.390 eV per atom
* energy relative to the lowest polymorph listed for this composition: 293 meV per atom
* calculated density: 5.3 g/cm³

a b c (Å): 3.9275 3.9275 3.9275
angles (deg): 60.00 60.00 60.00
Fractional coordinates of all 3 atoms:
Be (0.7500, 0.7500, 0.7500)
Mg (0.0000, 0.0000, 0.0000)
Rh (0.5000, 0.5000, 0.5000)